(1)
Entry from the Alexandria database: a relaxed structure of PaTi2Bi (PBE).

abc: 3.182 7.543 7.495
angles: 90.00 90.02 90.00
Sites, in units of the cell vectors:
1 Pa 0.000 0.214 0.000
2 Pa 0.000 0.786 0.500
3 Ti 0.002 0.219 0.596
4 Ti 0.002 0.781 0.096
5 Ti 0.500 0.054 0.303
6 Ti 0.500 0.946 0.803
7 Bi 0.501 0.454 0.314
8 Bi 0.501 0.546 0.814

Computed properties:
Space group = Pc (7)

(2)
Entry from the Alexandria database: a relaxed structure of PaTiBi (PBE).

abc: 6.301 6.301 7.579
angles: 103.70 103.70 29.29
Sites, in units of the cell vectors:
1 Pa 0.190 0.190 0.142
2 Pa 0.810 0.810 0.858
3 Ti 0.157 0.157 0.518
4 Ti 0.843 0.843 0.482
5 Bi 0.468 0.468 0.242
6 Bi 0.532 0.532 0.758

Computed properties:
Space group = C2/m (12)

| no. | formation energy from the elements (meV/atom) | E above lowest polymorph (meV/atom) |
| --- | --- | --- |
| 1 | 116 | 174 |
| 2 | 5 | 0 |